[1]
Pr5TmSc4: optimized geometry, GGA-PBE.

Geometry as extended XYZ:
```
10
Lattice="3.644 0.000 0.000 0.000 3.644 0.000 0.000 0.000 22.984" Properties=species:S:1:pos:R:3 pbc="T T T"
Pr 0.000 0.000 0.000
Pr 0.000 0.000 4.512
Pr 0.000 0.000 9.037
Pr 0.000 0.000 13.948
Pr 0.000 0.000 18.472
Tm 1.822 1.822 11.492
Sc 1.822 1.822 2.257
Sc 1.822 1.822 6.773
Sc 1.822 1.822 16.211
Sc 1.822 1.822 20.727
```

raw total energy: -53.19 eV per cell
DFT formation energy: 0.0507 eV/atom
DOS(E_F): 14.66 states/eV/f.u.



[2]
PrTm3Sc3: optimized geometry, GGA-PBE.

Geometry as extended XYZ:
```
7
Lattice="5.199 3.002 2.232 -5.199 3.002 2.232 0.000 -6.003 2.232" Properties=species:S:1:pos:R:3 pbc="T T T"
Pr 0.000 0.000 0.000
Tm 0.000 -2.493 4.503
Tm -2.159 1.247 4.503
Tm 2.159 1.247 4.503
Sc 0.000 -2.798 1.297
Sc -2.424 1.399 1.297
Sc 2.424 1.399 1.297
```

raw total energy: -35.17 eV per cell
DFT formation energy: 0.2879 eV/atom
DOS(E_F): 11.06 states/eV/f.u.
excess energy over the best structure of this formula in the dataset: 23 meV/atom



[3]
Pr3Tm6Sc: optimized geometry, GGA-PBE.

Geometry as extended XYZ:
```
20
Lattice="12.947 0.000 0.000 0.000 3.477 0.000 -2.442 0.000 13.954" Properties=species:S:1:pos:R:3 pbc="T T T"
Pr 0.667 0.869 1.475
Pr 3.605 2.608 6.889
Pr 3.229 0.869 12.572
Pr 7.276 2.608 1.382
Pr 6.900 0.869 7.065
Pr 9.838 2.608 12.479
Tm 0.303 0.869 6.726
Tm 0.210 2.608 12.870
Tm 2.084 2.608 4.028
Tm 1.663 2.608 9.738
Tm 4.136 0.869 1.725
Tm 4.758 0.869 9.649
Tm 5.747 2.608 4.305
Tm 6.369 2.608 12.229
Tm 8.842 0.869 4.216
Tm 8.421 0.869 9.926
Tm 10.295 0.869 1.084
Tm 10.202 2.608 7.228
Sc -1.239 0.869 10.021
Sc 11.744 2.608 3.933
```

raw total energy: -93.22 eV per cell
DFT formation energy: 0.0891 eV/atom
DOS(E_F): 15.85 states/eV/f.u.
excess energy over the best structure of this formula in the dataset: 46 meV/atom



[4]
Pr3Tm4Sc2: optimized geometry, GGA-PBE.

Geometry as extended XYZ:
```
18
Lattice="6.182 0.000 0.000 -3.079 7.746 0.000 -0.041 -3.372 11.638" Properties=species:S:1:pos:R:3 pbc="T T T"
Pr -1.012 1.856 4.190
Pr 0.967 -1.116 11.338
Pr 2.050 -1.889 8.037
Pr 1.012 6.264 3.601
Pr 2.096 5.490 0.299
Pr 4.074 2.519 7.447
Tm 1.061 -0.257 2.267
Tm -1.056 3.305 10.703
Tm 0.970 1.351 8.695
Tm 1.987 0.513 5.507
Tm 1.075 3.861 6.131
Tm 2.093 3.023 2.942
Tm 4.119 1.069 0.935
Tm 2.002 4.631 9.370
Sc -2.092 5.077 4.814
Sc -1.067 4.263 1.632
Sc 4.130 0.112 10.006
Sc 5.154 -0.702 6.824
```

raw total energy: -89.07 eV per cell
DFT formation energy: 0.0393 eV/atom
DOS(E_F): 16.00 states/eV/f.u.
excess energy over the best structure of this formula in the dataset: 0 meV/atom



[5]
PrTmSc3: optimized geometry, GGA-PBE.

Geometry as extended XYZ:
```
10
Lattice="6.165 0.000 0.000 2.495 5.640 0.000 2.093 1.521 7.995" Properties=species:S:1:pos:R:3 pbc="T T T"
Pr 2.020 1.316 0.013
Pr 8.733 5.844 7.981
Tm 5.555 5.680 6.169
Tm 5.198 1.480 1.825
Sc 2.137 1.482 3.263
Sc 3.384 4.269 1.933
Sc 4.308 2.885 4.766
Sc 6.445 4.276 3.228
Sc 7.369 2.892 6.062
Sc 8.616 5.679 4.731
```

raw total energy: -56.07 eV per cell
DFT formation energy: 0.0419 eV/atom
DOS(E_F): 8.24 states/eV/f.u.



[6]
PrTmSc2: optimized geometry, GGA-PBE.

Geometry as extended XYZ:
```
4
Lattice="3.896 0.000 0.000 0.000 3.896 0.000 0.000 0.000 7.555" Properties=species:S:1:pos:R:3 pbc="T T T"
Pr 0.000 0.000 0.000
Tm 0.000 0.000 3.778
Sc 1.948 1.948 1.986
Sc 1.948 1.948 5.570
```

raw total energy: -21.59 eV per cell
DFT formation energy: 0.0818 eV/atom
DOS(E_F): 5.81 states/eV/f.u.
excess energy over the best structure of this formula in the dataset: 26 meV/atom



[7]
PrTm4Sc2: optimized geometry, GGA-PBE.

Geometry as extended XYZ:
```
14
Lattice="6.883 0.000 0.000 -1.713 8.135 0.000 -1.742 -3.964 7.347" Properties=species:S:1:pos:R:3 pbc="T T T"
Pr 0.000 0.000 0.000
Pr -1.731 3.947 4.215
Tm 0.007 0.906 3.352
Tm 0.077 6.039 2.134
Tm 1.754 3.133 0.894
Tm 0.008 4.211 7.251
Tm 1.710 1.444 6.247
Tm 3.443 0.888 3.318
Tm 5.179 3.137 0.813
Tm 5.150 -1.401 5.223
Sc -1.707 1.440 6.287
Sc 1.740 -1.404 5.271
Sc 1.732 4.011 4.255
Sc 3.431 6.043 2.082
```

raw total energy: -69.99 eV per cell
DFT formation energy: 0.0478 eV/atom
DOS(E_F): 11.29 states/eV/f.u.
excess energy over the best structure of this formula in the dataset: 0 meV/atom



[8]
Pr5Tm2Sc2: optimized geometry, GGA-PBE.

Geometry as extended XYZ:
```
9
Lattice="9.984 -1.741 0.000 9.984 1.741 0.000 -1.901 0.000 8.406" Properties=species:S:1:pos:R:3 pbc="T T T"
Pr 0.000 0.000 0.000
Pr 3.109 0.000 5.424
Pr 6.721 0.000 0.135
Pr 11.345 0.000 8.270
Pr 14.957 0.000 2.982
Tm -0.174 0.000 5.547
Tm 18.240 0.000 2.859
Sc 6.857 0.000 5.445
Sc 11.209 0.000 2.961
```

raw total energy: -44.50 eV per cell
DFT formation energy: 0.1117 eV/atom
DOS(E_F): 14.56 states/eV/f.u.
excess energy over the best structure of this formula in the dataset: 0 meV/atom



[9]
Pr8TmSc2: optimized geometry, GGA-PBE.

Geometry as extended XYZ:
```
11
Lattice="-2.777 4.279 7.871 2.777 -4.279 7.871 2.777 4.279 -7.871" Properties=species:S:1:pos:R:3 pbc="T T T"
Pr 2.777 2.543 -2.280
Pr 0.000 0.000 2.493
Pr 0.000 2.583 0.000
Pr 2.777 2.543 2.280
Pr 0.000 1.736 5.591
Pr 0.000 5.975 0.000
Pr 0.000 0.000 13.249
Pr 0.000 1.736 10.151
Tm 2.777 0.000 0.000
Sc 2.777 0.000 4.697
Sc 0.000 4.279 3.174
```

raw total energy: -54.00 eV per cell
DFT formation energy: 0.1245 eV/atom
DOS(E_F): 18.81 states/eV/f.u.
excess energy over the best structure of this formula in the dataset: 0 meV/atom



[10]
Pr12TmSc6: optimized geometry, GGA-PBE.

Geometry as extended XYZ:
```
19
Lattice="7.296 4.212 3.431 -7.296 4.212 3.431 0.000 -8.424 3.431" Properties=species:S:1:pos:R:3 pbc="T T T"
Pr -1.053 -5.258 4.262
Pr -5.080 -1.717 6.032
Pr -2.038 -1.963 4.266
Pr -4.027 3.541 4.262
Pr -2.719 0.783 6.028
Pr -0.681 2.747 4.266
Pr 0.681 -2.747 6.028
Pr 2.719 -0.783 4.266
Pr 4.027 -3.541 6.032
Pr 2.038 1.963 6.028
Pr 5.080 1.717 4.262
Pr 1.053 5.258 6.032
Tm 0.000 0.000 0.000
Sc -2.867 0.690 2.468
Sc 0.836 -2.828 2.468
Sc 2.031 2.138 2.468
Sc -2.031 -2.138 7.826
Sc -0.836 2.828 7.826
Sc 2.867 -0.690 7.826
```

raw total energy: -94.66 eV per cell
DFT formation energy: 0.2714 eV/atom
DOS(E_F): 28.71 states/eV/f.u.



[11]
Pr8Tm3Sc2: optimized geometry, GGA-PBE.

Geometry as extended XYZ:
```
13
Lattice="7.629 -4.630 0.000 7.629 4.630 0.000 -2.225 0.000 6.393" Properties=species:S:1:pos:R:3 pbc="T T T"
Pr 5.078 2.947 1.964
Pr 1.148 0.000 1.302
Pr 7.957 2.947 4.430
Pr 3.408 0.000 3.920
Pr 9.627 0.000 2.473
Pr 5.078 -2.947 1.964
Pr 11.886 0.000 5.091
Pr 7.957 -2.947 4.430
Tm 7.629 1.553 0.000
Tm 6.517 0.000 3.197
Tm 7.629 -1.553 0.000
Sc 4.571 0.000 0.523
Sc 8.463 0.000 5.871
```

raw total energy: -61.55 eV per cell
DFT formation energy: 0.2129 eV/atom
DOS(E_F): 18.41 states/eV/f.u.
excess energy over the best structure of this formula in the dataset: 5 meV/atom



[12]
Pr3Tm12Sc: optimized geometry, GGA-PBE.

Geometry as extended XYZ:
```
16
Lattice="4.978 0.000 0.000 0.000 4.978 0.000 0.000 0.000 19.883" Properties=species:S:1:pos:R:3 pbc="T T T"
Pr 0.000 0.000 0.000
Pr 0.000 0.000 5.017
Pr 0.000 0.000 14.865
Tm 0.000 2.489 2.525
Tm 0.000 2.489 7.577
Tm 0.000 2.489 12.306
Tm 0.000 2.489 17.357
Tm 2.489 0.000 2.525
Tm 2.489 0.000 7.577
Tm 2.489 0.000 12.306
Tm 2.489 0.000 17.357
Tm 2.489 2.489 0.000
Tm 2.489 2.489 5.053
Tm 2.489 2.489 9.941
Tm 2.489 2.489 14.830
Sc 0.000 0.000 9.941
```

raw total energy: -73.76 eV per cell
DFT formation energy: 0.0358 eV/atom
DOS(E_F): 23.47 states/eV/f.u.



[13]
Pr11Tm9Sc4: optimized geometry, GGA-PBE.

Geometry as extended XYZ:
```
24
Lattice="8.407 -12.720 0.000 8.407 12.720 0.000 0.000 0.000 3.607" Properties=species:S:1:pos:R:3 pbc="T T T"
Pr 0.000 0.000 0.000
Pr 3.792 4.585 0.000
Pr 8.407 8.669 0.000
Pr 5.018 0.000 0.000
Pr 8.407 3.302 0.000
Pr 3.792 -4.585 0.000
Pr 13.022 4.585 0.000
Pr 8.407 -3.302 0.000
Pr 11.797 0.000 0.000
Pr 8.407 -8.669 0.000
Pr 13.022 -4.585 0.000
Tm 2.446 1.819 1.803
Tm 6.693 5.874 1.803
Tm 2.446 -1.819 1.803
Tm 10.121 5.874 1.803
Tm 8.407 0.000 1.803
Tm 6.693 -5.874 1.803
Tm 14.368 1.819 1.803
Tm 10.121 -5.874 1.803
Tm 14.368 -1.819 1.803
Sc 5.775 2.599 1.803
Sc 5.775 -2.599 1.803
Sc 11.039 2.599 1.803
Sc 11.039 -2.599 1.803
```

raw total energy: -116.89 eV per cell
DFT formation energy: 0.0524 eV/atom
DOS(E_F): 30.39 states/eV/f.u.



[14]
Pr2TmSc2: optimized geometry, GGA-PBE.

Geometry as extended XYZ:
```
5
Lattice="5.508 -2.469 0.000 5.508 2.469 0.000 -5.453 0.000 5.509" Properties=species:S:1:pos:R:3 pbc="T T T"
Pr 1.631 0.000 0.608
Pr 3.932 0.000 4.900
Tm -2.726 0.000 2.754
Sc 0.559 0.000 3.844
Sc 5.004 0.000 1.665
```

raw total energy: -26.39 eV per cell
DFT formation energy: 0.0617 eV/atom
DOS(E_F): 7.43 states/eV/f.u.
excess energy over the best structure of this formula in the dataset: 0 meV/atom



[15]
Pr2Tm3Sc2: optimized geometry, GGA-PBE.

Geometry as extended XYZ:
```
7
Lattice="5.467 -2.484 0.000 5.467 2.484 0.000 -1.162 0.000 7.727" Properties=species:S:1:pos:R:3 pbc="T T T"
Pr 0.552 0.000 1.733
Pr 9.221 0.000 5.993
Tm 3.813 0.000 0.550
Tm 4.886 0.000 3.863
Tm 5.960 0.000 7.177
Sc 1.604 0.000 4.961
Sc 8.169 0.000 2.766
```

raw total energy: -35.27 eV per cell
DFT formation energy: 0.0528 eV/atom
DOS(E_F): 10.41 states/eV/f.u.
excess energy over the best structure of this formula in the dataset: 19 meV/atom



[16]
Pr9Tm2Sc: optimized geometry, GGA-PBE.

Geometry as extended XYZ:
```
12
Lattice="5.141 0.000 0.000 0.000 5.141 0.000 0.000 0.000 15.427" Properties=species:S:1:pos:R:3 pbc="T T T"
Pr 0.000 0.000 0.000
Pr 0.000 0.000 5.119
Pr 0.000 0.000 10.308
Pr 0.000 2.571 2.520
Pr 0.000 2.571 7.714
Pr 0.000 2.571 12.907
Pr 2.571 0.000 2.520
Pr 2.571 0.000 7.714
Pr 2.571 0.000 12.907
Tm 2.571 2.571 5.119
Tm 2.571 2.571 10.309
Sc 2.571 2.571 0.000
```

raw total energy: -58.03 eV per cell
DFT formation energy: 0.0220 eV/atom
DOS(E_F): 16.81 states/eV/f.u.



[17]
Pr8Tm2Sc3: optimized geometry, GGA-PBE.

Geometry as extended XYZ:
```
13
Lattice="7.497 -4.505 0.000 7.497 4.505 0.000 -1.168 0.000 6.596" Properties=species:S:1:pos:R:3 pbc="T T T"
Pr 5.744 2.857 0.419
Pr 0.905 0.000 2.663
Pr 8.083 2.857 6.177
Pr 3.861 0.000 4.455
Pr 9.966 0.000 2.141
Pr 5.744 -2.857 0.419
Pr 12.922 0.000 3.934
Pr 8.083 -2.857 6.177
Tm 4.376 0.000 1.300
Tm 9.451 0.000 5.296
Sc 6.913 1.444 3.298
Sc 7.497 0.000 0.000
Sc 6.913 -1.444 3.298
```

raw total energy: -63.11 eV per cell
DFT formation energy: 0.2357 eV/atom
DOS(E_F): 18.13 states/eV/f.u.
excess energy over the best structure of this formula in the dataset: 57 meV/atom



[18]
Pr2Tm6Sc: optimized geometry, GGA-PBE.

Geometry as extended XYZ:
```
9
Lattice="9.580 0.000 0.000 -4.790 8.296 0.000 0.000 0.000 3.500" Properties=species:S:1:pos:R:3 pbc="T T T"
Pr 0.000 5.531 0.930
Pr 4.790 2.765 2.570
Tm -1.400 2.821 2.704
Tm -1.647 8.099 2.704
Tm 1.743 2.623 0.797
Tm 3.047 5.673 2.704
Tm 6.437 0.198 0.797
Tm 6.190 5.476 0.797
Sc 0.000 0.000 1.750
```

raw total energy: -41.96 eV per cell
DFT formation energy: 0.0848 eV/atom
DOS(E_F): 17.38 states/eV/f.u.
excess energy over the best structure of this formula in the dataset: 0 meV/atom



[19]
Pr2Tm3Sc2: optimized geometry, GGA-PBE.

Geometry as extended XYZ:
```
7
Lattice="2.592 -11.708 0.000 2.592 11.708 0.000 0.000 0.000 3.481" Properties=species:S:1:pos:R:3 pbc="T T T"
Pr 2.592 9.912 0.000
Pr 2.592 -9.912 0.000
Tm 2.592 3.708 1.741
Tm 2.592 0.000 1.741
Tm 2.592 -3.708 1.741
Sc 2.592 6.626 0.000
Sc 2.592 -6.626 0.000
```

raw total energy: -35.40 eV per cell
DFT formation energy: 0.0336 eV/atom
DOS(E_F): 10.43 states/eV/f.u.
excess energy over the best structure of this formula in the dataset: 0 meV/atom



[20]
PrTmSc2: optimized geometry, GGA-PBE.

Geometry as extended XYZ:
```
16
Lattice="6.782 0.000 0.000 3.176 5.999 0.000 2.757 1.639 11.205" Properties=species:S:1:pos:R:3 pbc="T T T"
Pr 1.619 0.974 1.397
Pr 3.001 1.793 7.003
Pr 9.714 5.845 4.202
Pr 11.097 6.663 9.808
Tm 4.781 2.875 4.192
Tm 6.160 3.691 9.792
Tm 6.555 3.947 1.413
Tm 7.934 4.763 7.013
Sc 4.570 4.770 7.001
Sc 3.191 3.948 1.398
Sc 6.352 5.852 4.204
Sc 7.734 6.667 9.806
Sc 4.981 0.971 1.399
Sc 6.364 1.785 7.001
Sc 9.525 3.689 9.806
Sc 8.146 2.868 4.204
```

raw total energy: -86.76 eV per cell
DFT formation energy: 0.0560 eV/atom
DOS(E_F): 6.88 states/eV/f.u.
excess energy over the best structure of this formula in the dataset: 0 meV/atom



| no. | M_tot (μB/cell) |
| --- | --- |
| 1 | 0.00 |
| 2 | 0.00 |
| 3 | 0.00 |
| 4 | 0.00 |
| 5 | 0.00 |
| 6 | 0.00 |
| 7 | 0.00 |
| 8 | 0.00 |
| 9 | 0.00 |
| 10 | 0.00 |
| 11 | 0.00 |
| 12 | 0.00 |
| 13 | 0.00 |
| 14 | 0.00 |
| 15 | 0.00 |
| 16 | 0.00 |
| 17 | 0.00 |
| 18 | 0.00 |
| 19 | 0.00 |
| 20 | 0.00 |